Here is an optimized crystal structure of GaHgN3 from Alexandria. Energies are from PBE.

```
data_GaHgN3
_cell_length_a 4.326
_cell_length_b 4.326
_cell_length_c 4.326
_cell_angle_alpha 90.00
_cell_angle_beta 90.00
_cell_angle_gamma 90.00
_symmetry_space_group_name_H-M 'P m -3 m'
_symmetry_Int_Tables_number 221
_symmetry_space_group_name_Hall '-P 4 2 3'
loop_
_atom_site_label
_atom_site_type_symbol
_atom_site_fract_x
_atom_site_fract_y
_atom_site_fract_z
_atom_site_occupancy
Ga1 Ga 0.000 0.000 0.000 1
Hg1 Hg 0.500 0.500 0.500 1
N1 N 0.000 0.500 0.500 1
```

Computed properties:
DOS(E_F): 1.30 states/eV/f.u.
E_form (uncorrected): 2.446 eV per atom